A geometry-optimized VCu2O5 structure. Source: Alexandria via LeMat-Bulk, functional GGA+U.

abc: 5.7771 9.2214 8.1292
angles: 90.00 90.00 90.00
Atoms (fractional coordinates):
V (0.0000, 0.2561, 0.2656)
V (0.5000, 0.2439, 0.7656)
V (0.5000, 0.7561, 0.2344)
V (0.0000, 0.7439, 0.7344)
Cu (0.2491, 0.0000, 0.0000)
Cu (0.7509, 0.0000, 0.0000)
Cu (0.0000, 0.1020, 0.6446)
Cu (0.5000, 0.3980, 0.1446)
Cu (0.2509, 0.5000, 0.5000)
Cu (0.7491, 0.5000, 0.5000)
Cu (0.5000, 0.6020, 0.8554)
Cu (0.0000, 0.8980, 0.3554)
O (0.0000, 0.0662, 0.8711)
O (0.5000, 0.0722, 0.8694)
O (0.0000, 0.1041, 0.4069)
O (0.2424, 0.2476, 0.1465)
O (0.7576, 0.2476, 0.1465)
O (0.2576, 0.2524, 0.6465)
O (0.7424, 0.2524, 0.6465)
O (0.5000, 0.3959, 0.9069)
O (0.0000, 0.4278, 0.3694)
O (0.5000, 0.4338, 0.3711)
O (0.5000, 0.5662, 0.6289)
O (0.0000, 0.5722, 0.6306)
O (0.5000, 0.6041, 0.0931)
O (0.2576, 0.7476, 0.3535)
O (0.7424, 0.7476, 0.3535)
O (0.2424, 0.7524, 0.8535)
O (0.7576, 0.7524, 0.8535)
O (0.0000, 0.8959, 0.5931)
O (0.5000, 0.9278, 0.1306)
O (0.0000, 0.9338, 0.1289)

Properties
total moment	0.00	μB/atom
crystal system	orthorhombic
total DFT energy (no corrections)	-6.11	eV/atom